1.
# Sr2SiSbPb

Crystalline Sr2SiSbPb at its relaxed geometry (GGA-PBE, Alexandria via LeMat-Bulk).

Computed properties:
E_form (uncorrected): -18.86 kJ/mol of atoms
raw total energy: -17.6 eV for the cell shown
DOS at the Fermi energy: 0.553 states/eV/atom
magnetic moment: 0.0 μB/cell

Cell and atoms, written as CIF:
```
data_Sr2SiSbPb
_cell_length_a 5.921
_cell_length_b 5.921
_cell_length_c 5.273
_cell_angle_alpha 90.00
_cell_angle_beta 90.00
_cell_angle_gamma 90.00
_symmetry_space_group_name_H-M 'P 4/m m m'
_symmetry_Int_Tables_number 123
_symmetry_space_group_name_Hall '-P 4 2'
loop_
_atom_site_label
_atom_site_type_symbol
_atom_site_fract_x
_atom_site_fract_y
_atom_site_fract_z
_atom_site_occupancy
Sr1 Sr 0.000 0.500 0.000 1
Si1 Si 0.000 0.000 0.000 1
Sb1 Sb 0.500 0.500 0.500 1
Pb1 Pb 0.000 0.000 0.500 1
```

2.
# Sr8Cu8O17

Crystalline Sr8Cu8O17 at its relaxed geometry (GGA-PBE, Alexandria via LeMat-Bulk).

Computed properties:
E_form (uncorrected): -159.86 kJ/mol of atoms
raw total energy: -370.4 eV for the cell shown
DOS at the Fermi energy: 0.351 states/eV/atom
magnetic moment: 0.0 μB/cell

Cell and atoms, written as CIF:
```
data_Sr8Cu8O17
_cell_length_a 15.829
_cell_length_b 7.833
_cell_length_c 8.161
_cell_angle_alpha 90.00
_cell_angle_beta 118.98
_cell_angle_gamma 90.00
_symmetry_space_group_name_H-M 'C 1 2/m 1'
_symmetry_Int_Tables_number 12
loop_
_symmetry_equiv_pos_as_xyz
'x,y,z'
'-x,-y,-z'
'-x,y,-z'
'x,-y,z'
'x+1/2,y+1/2,z'
'-x+1/2,-y+1/2,-z'
'-x+1/2,y+1/2,-z'
'x+1/2,-y+1/2,z'
loop_
_atom_site_label
_atom_site_type_symbol
_atom_site_fract_x
_atom_site_fract_y
_atom_site_fract_z
_atom_site_occupancy
Sr1 Sr 0.000 0.249 0.000 1
Sr2 Sr 0.120 0.261 0.500 1
Sr3 Sr 0.250 0.250 0.000 1
Cu1 Cu 0.065 0.000 0.761 1
Cu2 Cu 0.065 0.500 0.762 1
Cu3 Cu 0.184 0.000 0.246 1
Cu4 Cu 0.189 0.500 0.245 1
O1 O 0.000 0.500 0.500 1
O2 O 0.062 0.000 0.253 1
O3 O 0.065 0.500 0.234 1
O4 O 0.068 0.246 0.772 1
O5 O 0.185 0.000 0.745 1
O6 O 0.190 0.250 0.258 1
O7 O 0.198 0.500 0.767 1
```

3.
# Y2Tc

Crystalline Y2Tc at its relaxed geometry (GGA-PBE, Alexandria via LeMat-Bulk).

Computed properties:
E above lowest polymorph: 58 meV per atom
raw total energy: -92.6 eV for the cell shown
DOS at the Fermi energy: 1.281 states/eV/atom
magnetic moment: 0.0 μB/cell

Cell and atoms, written as CIF:
```
data_Y2Tc
_cell_length_a 3.429
_cell_length_b 3.429
_cell_length_c 27.139
_cell_angle_alpha 90.00
_cell_angle_beta 90.00
_cell_angle_gamma 90.00
_symmetry_space_group_name_H-M 'I 41/a m d'
_symmetry_Int_Tables_number 141
loop_
_symmetry_equiv_pos_as_xyz
'x,y,z'
'-x,-y,-z'
'-y+1/4,x+3/4,z+1/4'
'y+1/4,-x+3/4,-z+1/4'
'-x+1/2,-y,z+1/2'
'x+1/2,y,-z+1/2'
'y+1/4,-x+1/4,z+3/4'
'-y+1/4,x+1/4,-z+3/4'
'x,-y,-z'
'-x,y,z'
'-y+1/4,-x+1/4,-z+3/4'
'y+1/4,x+1/4,z+3/4'
'-x+1/2,y,-z+1/2'
'x+1/2,-y,z+1/2'
'y+1/4,x+3/4,-z+1/4'
'-y+1/4,-x+3/4,z+1/4'
'x+1/2,y+1/2,z+1/2'
'-x+1/2,-y+1/2,-z+1/2'
'-y+3/4,x+1/4,z+3/4'
'y+3/4,-x+1/4,-z+3/4'
'-x,-y+1/2,z'
'x,y+1/2,-z'
'y+3/4,-x+3/4,z+1/4'
'-y+3/4,x+3/4,-z+1/4'
'x+1/2,-y+1/2,-z+1/2'
'-x+1/2,y+1/2,z+1/2'
'-y+3/4,-x+3/4,-z+1/4'
'y+3/4,x+3/4,z+1/4'
'-x,y+1/2,-z'
'x,-y+1/2,z'
'y+3/4,x+1/4,-z+3/4'
'-y+3/4,-x+1/4,z+3/4'
loop_
_atom_site_label
_atom_site_type_symbol
_atom_site_fract_x
_atom_site_fract_y
_atom_site_fract_z
_atom_site_occupancy
Y1 Y 0.000 0.250 0.314 1
Tc1 Tc 0.000 0.250 0.875 1
```

4.
# Tb12Ho7Th

Crystalline Tb12Ho7Th at its relaxed geometry (GGA-PBE, Alexandria via LeMat-Bulk).

Computed properties:
E above lowest polymorph: 0 meV per atom
raw total energy: -270.7 eV for the cell shown
DOS at the Fermi energy: 1.923 states/eV/atom
magnetic moment: 0.0 μB/cell

Cell and atoms, written as CIF:
```
data_Tb12Ho7Th
_cell_length_a 12.1930
_cell_length_b 12.1930
_cell_length_c 15.2192
_cell_angle_alpha 90.00
_cell_angle_beta 90.00
_cell_angle_gamma 120.00
_symmetry_space_group_name_H-M 'R -3'
_symmetry_Int_Tables_number 148
_symmetry_space_group_name_Hall '-R 3'
loop_
_atom_site_label
_atom_site_type_symbol
_atom_site_fract_x
_atom_site_fract_y
_atom_site_fract_z
_atom_site_occupancy
Tb1 Tb 0.0146 0.4436 0.2044 1
Tb2 Tb 0.0573 0.5872 0.5890 1
Ho1 Ho 0.0000 0.0000 0.0000 1
Ho2 Ho 0.0411 0.1849 0.3049 1
Th1 Th 0.0000 0.0000 0.5000 1
```